Entry from Alexandria via LeMat-Bulk: a geometry-optimized Pr2YHo5 structure (PBE).

Calculated values
crystal system	orthorhombic
energy relative to the elements	0.186	eV/f.u.
energy	-4.84	eV/atom
total magnetic moment	0.00	μB/f.u.

Cell: 7.1568 14.3129 5.0600 Å, 90.00 90.00 90.00°
Last column: nearest neighbours and their distance in Å.
Space group Pbam (No. 55)
One atom of each set of equivalent atoms:
Pr 0.2493 0.1253 0.0000 x4  10 Ho 3.56-3.59, 2 Y 3.58
Y 0.0000 0.5000 0.5000 x2  8 Ho 3.58-3.59, 4 Pr 3.58
Ho 0.0000 0.0000 0.5000 x2  6 Ho 3.57-3.58, 4 Pr 3.58, 2 Y 3.58
Ho 0.0003 0.2494 0.5000 x4  7 Ho 3.57-3.58, 4 Pr 3.57-3.58, 1 Y 3.59
Ho 0.2492 0.8744 0.0000 x4  4 Pr 3.56-3.59, 6 Ho 3.57-3.58, 2 Y 3.59